Computed, not measured: KAgO after structural relaxation at the PBEsol level of DFT.

Summary:
Calculated volume, A^3/atom: 21.62
E_form (uncorrected), eV/atom: -0.7833

a b c (Å): 9.7616 9.7616 5.4453
angles (deg): 90.00 90.00 90.00
Space group I4/mmm (No. 139)
Symmetry-distinct sites (fractional):
K (0.0000, 0.3197, 0.0000) x8
Ag (0.1483, 0.1483, 0.5000) x8
O (0.0000, 0.2948, 0.5000) x8



Computed, not measured: TlCr2Os after structural relaxation at the PBEsol level of DFT.

Summary:
Calculated volume, A^3/atom: 14.48
ΔH_f (0 K), eV/atom: 0.81
Excess energy over the best structure of this formula in the dataset, eV per formula unit: 0.85

a b c (Å): 3.1862 4.2908 8.4736
angles (deg): 90.00 90.00 90.00
Space group Immm (No. 71)
Symmetry-distinct sites (fractional):
Tl (0.0000, 0.0000, 0.0000) x2
Cr (0.0000, 0.5000, 0.2402) x4
Os (0.0000, 0.0000, 0.5000) x2



Which value of calculated volume does entry 2 give?
14.48 A^3/atom



Which formula does entry 1 have?
KAgO



Among the records above, which one has the lowest calculated volume?
TlCr2Os